Compound: Ta4CrFe
Source: the Alexandria database
Functional: GGA-PBE
Structure: relaxed

Properties
- M_tot (μB per cell) = 15.47
- energy of formation (eV per atom) = 0.68
- N(E_F) (states/eV per cell) = 32.721
- uncorrected energy (eV/atom) = -10.24

The structure in CIF format:
```
data_Ta4CrFe
_chemical_formula_sum 'Ta16 Cr4 Fe4'
_symmetry_space_group_name_H-M 'F -4 3 m'
_symmetry_Int_Tables_number 216
_symmetry_space_group_name_Hall 'F -4 2 3'
_cell_length_a 7.566
_cell_length_b 7.566
_cell_length_c 7.566
_cell_angle_alpha 90.00
_cell_angle_beta 90.00
_cell_angle_gamma 90.00
loop_
_atom_site_label
_atom_site_fract_x
_atom_site_fract_y
_atom_site_fract_z
_atom_site_occupancy
Ta1 0.124 0.124 0.124 1
Cr1 0.250 0.250 0.750 1
Fe1 0.000 0.000 0.500 1
```